# 1
First-principles (PBE) data for a geometry-optimized CaAgPt2 structure, as listed in Alexandria via LeMat-Bulk.

The structure in POSCAR format:
```
CaAgPt2
1.0
0.000 3.339 3.339
3.339 0.000 3.339
3.339 3.339 0.000
Ca Ag Pt
1 1 2
Cartesian
0.000 0.000 0.000 Ca
1.670 1.670 1.670 Ag
3.339 3.339 3.339 Pt
5.009 5.009 5.009 Pt
```

## Properties
raw total energy: -4.590 eV per atom
space group: F-43m, No. 216



# 2
First-principles (PBE) data for a geometry-optimized CaAgPt structure, as listed in Alexandria via LeMat-Bulk.

The structure in POSCAR format:
```
CaAgPt
1.0
0.000 3.316 3.316
3.316 0.000 3.316
3.316 3.316 0.000
Ca Ag Pt
1 1 1
Cartesian
0.000 0.000 0.000 Ca
4.974 4.974 4.974 Ag
1.658 1.658 1.658 Pt
```

## Properties
raw total energy: -3.644 eV per atom
polymorph energy (0 for the lowest one): 572 meV per atom
space group: F-43m, No. 216



# 3
First-principles (PBE) data for a geometry-optimized CaAgPt structure, as listed in Alexandria via LeMat-Bulk.

The structure in POSCAR format:
```
CaAgPt
1.0
-1.585 2.051 4.636
1.585 -2.051 4.636
1.585 2.051 -4.636
Ca Ag Pt
1 1 1
Cartesian
0.000 0.000 0.000 Ca
0.000 0.000 2.935 Ag
0.000 0.000 6.179 Pt
```

## Properties
raw total energy: -4.062 eV per atom
polymorph energy (0 for the lowest one): 153 meV per atom
space group: Imm2, No. 44



# 4
First-principles (PBE) data for a geometry-optimized CaPuAgPt structure, as listed in Alexandria via LeMat-Bulk.

The structure in POSCAR format:
```
CaPuAgPt
1.0
3.509 0.000 0.000
0.000 3.509 0.000
0.000 0.000 7.594
Ca Pu Ag Pt
1 1 1 1
Cartesian
0.000 0.000 0.000 Ca
0.000 0.000 3.472 Pu
1.754 1.754 5.575 Ag
1.754 1.754 1.841 Pt
```

## Properties
raw total energy: -6.793 eV per atom
polymorph energy (0 for the lowest one): 0 meV per atom
space group: P4mm, No. 99



# 5
First-principles (PBE) data for a geometry-optimized CaPuAgPt structure, as listed in Alexandria via LeMat-Bulk.

The structure in POSCAR format:
```
CaPuAgPt
1.0
0.000 3.585 3.585
3.585 0.000 3.585
3.585 3.585 0.000
Ca Pu Ag Pt
1 1 1 1
Cartesian
0.000 0.000 0.000 Ca
3.585 3.585 3.585 Pu
1.793 1.793 1.793 Ag
5.378 5.378 5.378 Pt
```

## Properties
raw total energy: -6.729 eV per atom
polymorph energy (0 for the lowest one): 64 meV per atom
space group: F-43m, No. 216



# 6
First-principles (PBE) data for a geometry-optimized Ca2AgSb3Pt4 structure, as listed in Alexandria via LeMat-Bulk.

The structure in POSCAR format:
```
Ca2AgSb3Pt4
1.0
4.571 0.000 0.000
0.000 4.571 0.000
0.000 0.000 10.748
Ca Ag Sb Pt
2 1 3 4
Cartesian
0.000 2.286 2.692 Ca
2.286 0.000 8.057 Ca
0.000 0.000 5.374 Ag
0.000 2.286 9.363 Sb
2.286 0.000 1.386 Sb
2.286 2.286 5.374 Sb
0.000 0.000 0.000 Pt
0.000 2.286 6.820 Pt
2.286 0.000 3.929 Pt
2.286 2.286 0.000 Pt
```

## Properties
raw total energy: -4.996 eV per atom
space group: P-4m2, No. 115
uncorrected formation energy: -6.57 eV/f.u.



# 7
First-principles (PBE) data for a geometry-optimized CaScAgPt structure, as listed in Alexandria via LeMat-Bulk.

The structure in POSCAR format:
```
CaScAgPt
1.0
0.000 3.454 3.454
3.454 0.000 3.454
3.454 3.454 0.000
Ca Sc Ag Pt
1 1 1 1
Cartesian
0.000 0.000 0.000 Ca
3.454 3.454 3.454 Sc
1.727 1.727 1.727 Ag
5.181 5.181 5.181 Pt
```

## Properties
raw total energy: -4.937 eV per atom
space group: F-43m, No. 216



# 8
First-principles (PBE) data for a geometry-optimized Ca2Si2AgPt5 structure, as listed in Alexandria via LeMat-Bulk.

The structure in POSCAR format:
```
Ca2Si2AgPt5
1.0
10.028 0.000 0.000
0.000 10.028 0.000
0.000 0.000 3.500
Ca Si Ag Pt
4 4 2 10
Cartesian
1.761 3.253 0.000 Ca
3.253 8.268 0.000 Ca
6.775 1.761 0.000 Ca
8.268 6.775 0.000 Ca
1.251 6.266 0.000 Si
3.763 1.251 0.000 Si
6.266 8.777 0.000 Si
8.777 3.763 0.000 Si
0.000 0.000 0.000 Ag
5.014 5.014 0.000 Ag
0.000 5.014 1.750 Pt
0.648 7.888 1.750 Pt
2.140 0.648 1.750 Pt
2.874 5.663 1.750 Pt
4.366 2.874 1.750 Pt
5.014 0.000 1.750 Pt
5.663 7.154 1.750 Pt
7.154 4.366 1.750 Pt
7.888 9.380 1.750 Pt
9.380 2.140 1.750 Pt
```

## Properties
raw total energy: -5.529 eV per atom
space group: P4/mbm, No. 127
uncorrected formation energy: -7.38 eV/f.u.



# 9
First-principles (PBE) data for a geometry-optimized Ca2Si4AgPt3 structure, as listed in Alexandria via LeMat-Bulk.

The structure in POSCAR format:
```
Ca2Si4AgPt3
1.0
4.244 0.000 0.000
0.000 4.244 0.000
0.000 0.000 10.039
Ca Si Ag Pt
2 4 1 3
Cartesian
0.000 2.122 2.460 Ca
2.122 0.000 7.579 Ca
0.000 0.000 0.000 Si
0.000 2.122 6.401 Si
2.122 0.000 3.638 Si
2.122 2.122 0.000 Si
0.000 0.000 5.020 Ag
0.000 2.122 8.811 Pt
2.122 0.000 1.228 Pt
2.122 2.122 5.020 Pt
```

## Properties
raw total energy: -5.451 eV per atom
space group: P-4m2, No. 115
uncorrected formation energy: -7.84 eV/f.u.



# 10
First-principles (PBE) data for a geometry-optimized Ca2AgSn3Pt4 structure, as listed in Alexandria via LeMat-Bulk.

The structure in POSCAR format:
```
Ca2AgSn3Pt4
1.0
4.207 0.000 0.000
0.000 4.207 0.000
0.000 0.000 12.304
Ca Ag Sn Pt
2 1 3 4
Cartesian
0.000 2.103 2.830 Ca
2.103 0.000 9.474 Ca
2.103 2.103 0.000 Ag
0.000 0.000 0.000 Sn
0.000 2.103 7.829 Sn
2.103 0.000 4.475 Sn
0.000 0.000 6.152 Pt
0.000 2.103 10.433 Pt
2.103 0.000 1.871 Pt
2.103 2.103 6.152 Pt
```

## Properties
raw total energy: -4.967 eV per atom
space group: P-4m2, No. 115



# 11
First-principles (PBE) data for a geometry-optimized Ca2AgSn4Pt3 structure, as listed in Alexandria via LeMat-Bulk.

The structure in POSCAR format:
```
Ca2AgSn4Pt3
1.0
4.578 0.000 0.000
0.000 4.578 0.000
0.000 0.000 11.069
Ca Ag Sn Pt
2 1 4 3
Cartesian
0.000 2.289 2.711 Ca
2.289 0.000 8.358 Ca
2.289 2.289 0.000 Ag
0.000 0.000 5.534 Sn
0.000 2.289 9.593 Sn
2.289 0.000 1.476 Sn
2.289 2.289 5.534 Sn
0.000 0.000 0.000 Pt
0.000 2.289 6.972 Pt
2.289 0.000 4.097 Pt
```

## Properties
raw total energy: -4.739 eV per atom
space group: P-4m2, No. 115



# 12
First-principles (PBE) data for a geometry-optimized Sr2Ca6AgPt structure, as listed in Alexandria via LeMat-Bulk.

The structure in POSCAR format:
```
Sr2Ca6AgPt
1.0
0.000 5.827 5.827
5.827 0.000 5.827
5.827 5.827 0.000
Sr Ca Ag Pt
2 6 1 1
Cartesian
2.913 2.913 2.913 Sr
8.740 8.740 8.740 Sr
5.827 5.827 2.824 Ca
5.827 2.824 5.827 Ca
8.829 5.827 5.827 Ca
2.824 5.827 5.827 Ca
5.827 8.829 5.827 Ca
5.827 5.827 8.829 Ca
5.827 5.827 5.827 Ag
0.000 0.000 0.000 Pt
```

## Properties
raw total energy: -2.716 eV per atom
space group: Fm-3m, No. 225



# 13
First-principles (PBE) data for a geometry-optimized CaTbAgPt structure, as listed in Alexandria via LeMat-Bulk.

The structure in POSCAR format:
```
CaTbAgPt
1.0
0.000 3.565 3.565
3.565 0.000 3.565
3.565 3.565 0.000
Ca Tb Ag Pt
1 1 1 1
Cartesian
0.000 0.000 0.000 Ca
3.565 3.565 3.565 Tb
5.348 5.348 5.348 Ag
1.783 1.783 1.783 Pt
```

## Properties
raw total energy: -4.574 eV per atom
space group: F-43m, No. 216



# 14
First-principles (PBE) data for a geometry-optimized CaTiAgPt2 structure, as listed in Alexandria via LeMat-Bulk.

The structure in POSCAR format:
```
CaTiAgPt2
1.0
5.085 0.000 0.000
0.000 5.085 0.000
0.000 0.000 4.577
Ca Ti Ag Pt
1 1 1 2
Cartesian
0.000 0.000 0.000 Ca
2.542 2.542 0.000 Ti
2.542 2.542 2.288 Ag
0.000 2.542 2.288 Pt
2.542 0.000 2.288 Pt
```

## Properties
raw total energy: -4.436 eV per atom
polymorph energy (0 for the lowest one): 0 meV per atom
space group: P4/mmm, No. 123



# 15
First-principles (PBE) data for a geometry-optimized CaTiAgPt2 structure, as listed in Alexandria via LeMat-Bulk.

The structure in POSCAR format:
```
CaTiAgPt2
1.0
4.902 0.000 0.000
0.000 4.902 0.000
0.000 0.000 4.709
Ca Ti Ag Pt
1 1 1 2
Cartesian
0.000 0.000 0.000 Ca
0.000 0.000 2.355 Ti
2.451 2.451 2.355 Ag
0.000 2.451 0.000 Pt
2.451 0.000 0.000 Pt
```

## Properties
raw total energy: -3.664 eV per atom
polymorph energy (0 for the lowest one): 773 meV per atom
space group: P4/mmm, No. 123



# 16
First-principles (PBE) data for a geometry-optimized Ca2TiAgPt structure, as listed in Alexandria via LeMat-Bulk.

The structure in POSCAR format:
```
Ca2TiAgPt
1.0
5.367 0.000 0.000
0.000 5.367 0.000
0.000 0.000 5.057
Ca Ti Ag Pt
2 1 1 1
Cartesian
0.000 2.683 0.000 Ca
2.683 0.000 0.000 Ca
0.000 0.000 2.528 Ti
2.683 2.683 0.000 Ag
2.683 2.683 2.528 Pt
```

## Properties
raw total energy: -3.495 eV per atom
space group: P4/mmm, No. 123



# 17
First-principles (PBE) data for a geometry-optimized Ca2TlAgPt structure, as listed in Alexandria via LeMat-Bulk.

The structure in POSCAR format:
```
Ca2TlAgPt
1.0
5.510 0.000 0.000
0.000 5.510 0.000
0.000 0.000 5.091
Ca Tl Ag Pt
2 1 1 1
Cartesian
0.000 2.755 0.000 Ca
2.755 0.000 0.000 Ca
0.000 0.000 2.546 Tl
0.000 0.000 0.000 Ag
2.755 2.755 2.546 Pt
```

## Properties
raw total energy: -2.848 eV per atom
space group: P4/mmm, No. 123



# 18
First-principles (PBE) data for a geometry-optimized CaTlAgPt2 structure, as listed in Alexandria via LeMat-Bulk.

The structure in POSCAR format:
```
CaTlAgPt2
1.0
5.089 0.000 0.000
0.000 5.089 0.000
0.000 0.000 5.102
Ca Tl Ag Pt
1 1 1 2
Cartesian
0.000 0.000 0.000 Ca
2.544 2.544 0.000 Tl
0.000 0.000 2.551 Ag
0.000 2.544 2.551 Pt
2.544 0.000 2.551 Pt
```

## Properties
raw total energy: -3.446 eV per atom
space group: P4/mmm, No. 123



# 19
First-principles (PBE) data for a geometry-optimized CaVAgPt2 structure, as listed in Alexandria via LeMat-Bulk.

The structure in POSCAR format:
```
CaVAgPt2
1.0
4.944 0.000 0.000
0.000 4.944 0.000
0.000 0.000 4.921
Ca V Ag Pt
1 1 1 2
Cartesian
0.000 0.000 0.000 Ca
2.472 2.472 2.461 V
0.000 0.000 2.461 Ag
0.000 2.472 0.000 Pt
2.472 0.000 0.000 Pt
```

## Properties
raw total energy: -3.797 eV per atom
space group: P4/mmm, No. 123



# 20
First-principles (PBE) data for a geometry-optimized CaAg2PtW structure, as listed in Alexandria via LeMat-Bulk.

The structure in POSCAR format:
```
CaAg2PtW
1.0
4.854 0.000 0.000
0.000 4.854 0.000
0.000 0.000 4.976
Ca Ag Pt W
1 2 1 1
Cartesian
0.000 0.000 0.000 Ca
0.000 2.427 0.000 Ag
2.427 0.000 0.000 Ag
2.427 2.427 2.488 Pt
0.000 0.000 2.488 W
```

## Properties
raw total energy: -3.178 eV per atom
space group: P4/mmm, No. 123



# 21
First-principles (PBE) data for a geometry-optimized Ca2Zn4AgPt3 structure, as listed in Alexandria via LeMat-Bulk.

The structure in POSCAR format:
```
Ca2Zn4AgPt3
1.0
4.136 0.000 0.000
0.000 4.136 0.000
0.000 0.000 11.245
Ca Zn Ag Pt
2 4 1 3
Cartesian
0.000 2.068 2.704 Ca
2.068 0.000 8.541 Ca
0.000 0.000 0.000 Zn
0.000 2.068 7.190 Zn
2.068 0.000 4.055 Zn
2.068 2.068 0.000 Zn
0.000 0.000 5.622 Ag
0.000 2.068 9.681 Pt
2.068 0.000 1.563 Pt
2.068 2.068 5.622 Pt
```

## Properties
raw total energy: -3.602 eV per atom
space group: P-4m2, No. 115



# 22
First-principles (PBE) data for a geometry-optimized CaPuAg structure, as listed in Alexandria via LeMat-Bulk.

The structure in POSCAR format:
```
CaPuAg
1.0
1.656 -12.955 0.000
1.656 12.955 0.000
0.000 0.000 3.457
Ca Pu Ag
2 2 2
Cartesian
1.656 11.232 2.593 Ca
1.656 -11.232 0.864 Ca
1.656 6.172 0.864 Pu
1.656 -6.172 2.593 Pu
1.656 3.651 2.593 Ag
1.656 -3.651 0.864 Ag
```

## Properties
raw total energy: -6.090 eV per atom
space group: Cmcm, No. 63



# 23
First-principles (PBE) data for a geometry-optimized CaPuAg4 structure, as listed in Alexandria via LeMat-Bulk.

The structure in POSCAR format:
```
CaPuAg4
1.0
0.000 4.067 4.067
4.067 0.000 4.067
4.067 4.067 0.000
Ca Pu Ag
1 1 4
Cartesian
0.000 0.000 0.000 Ca
2.033 2.033 2.033 Pu
5.085 3.049 3.049 Ag
3.049 5.085 3.049 Ag
3.049 3.049 5.085 Ag
5.085 5.085 5.085 Ag
```

## Properties
raw total energy: -4.671 eV per atom
space group: F-43m, No. 216



# 24
First-principles (PBE) data for a geometry-optimized Ca2PuAg6 structure, as listed in Alexandria via LeMat-Bulk.

The structure in POSCAR format:
```
Ca2PuAg6
1.0
8.420 0.000 0.000
-4.210 7.292 0.000
0.000 0.000 3.355
Ca Pu Ag
2 1 6
Cartesian
0.000 4.862 0.000 Ca
4.210 2.431 0.000 Ca
0.000 0.000 0.000 Pu
-1.406 2.435 1.678 Ag
-2.804 4.857 1.678 Ag
2.812 0.000 1.678 Ag
1.406 2.435 1.678 Ag
5.608 0.000 1.678 Ag
2.804 4.857 1.678 Ag
```

## Properties
raw total energy: -4.103 eV per atom
space group: P6/mmm, No. 191



# 25
First-principles (PBE) data for a geometry-optimized CaPuAgRh structure, as listed in Alexandria via LeMat-Bulk.

The structure in POSCAR format:
```
CaPuAgRh
1.0
0.000 3.553 3.553
3.553 0.000 3.553
3.553 3.553 0.000
Ca Pu Ag Rh
1 1 1 1
Cartesian
0.000 0.000 0.000 Ca
3.553 3.553 3.553 Pu
1.777 1.777 1.777 Ag
5.330 5.330 5.330 Rh
```

## Properties
raw total energy: -6.808 eV per atom
space group: F-43m, No. 216



# 26
First-principles (PBE) data for a geometry-optimized Ca3Pu3AgSe8 structure, as listed in Alexandria via LeMat-Bulk.

The structure in POSCAR format:
```
Ca3Pu3AgSe8
1.0
4.139 2.390 6.822
-4.139 2.390 6.822
0.000 -4.779 6.822
Ca Pu Ag Se
3 3 1 8
Cartesian
-2.069 -1.195 6.822 Ca
-2.069 1.195 13.644 Ca
0.000 2.390 6.822 Ca
-4.139 0.000 10.233 Pu
-2.069 1.195 3.411 Pu
2.069 1.195 3.411 Pu
0.000 0.000 10.233 Ag
-2.102 -1.214 11.888 Se
0.000 0.000 5.103 Se
0.000 -2.427 8.579 Se
-2.102 1.214 8.579 Se
2.102 -1.214 11.888 Se
0.000 2.427 11.888 Se
0.000 0.000 15.364 Se
2.102 1.214 8.579 Se
```

## Properties
raw total energy: -6.778 eV per atom
space group: R-3m, No. 166
uncorrected formation energy: -21.94 eV/f.u.